No. 1
The following is a GGA-PBE calculation of a geometry-optimized Ti2PtI structure, from Alexandria via LeMat-Bulk.

The value obtained for the spin magnetization is 0.481 μB/atom. Its raw formation energy is 0.102 eV/atom.

The structure belongs to space group I-42d (No. 122); the cell edges are 6.146, 6.146 and 11.571 Å and the angles 90.00°, 90.00° and 90.00°. The distinct sites, in fractional coordinates, are Ti at (0.200, 0.250, 0.125), Pt at (0.000, 0.000, 0.000) and I at (0.000, 0.000, 0.500).

No. 2
The following is a GGA-PBE calculation of a geometry-optimized FeCoW2 structure, from Alexandria via LeMat-Bulk.

The value obtained for the spin magnetization is 0.790 μB/atom. The energy of formation is 0.17 eV per atom.

The structure belongs to space group P4mm (No. 99); the cell edges are 2.678, 2.678 and 7.646 Å and the angles 90.00°, 90.00° and 90.00°. The distinct sites, in fractional coordinates, are Fe at (0.000, 0.000, 0.000), Co at (0.500, 0.500, 0.794), W at (0.000, 0.000, 0.556) and W at (0.500, 0.500, 0.257).

No. 3
The following is a GGA-PBE calculation of a geometry-optimized TiSnAu3 structure, from Alexandria via LeMat-Bulk.

The value obtained for the spin magnetization is 0.000 μB/atom. The energy of formation is 0.80 eV per atom.

The structure belongs to space group Pm-3m (No. 221); the cell edges are 5.077, 5.077 and 5.077 Å and the angles 90.00°, 90.00° and 90.00°. The distinct sites, in fractional coordinates, are Ti at (0.000, 0.000, 0.000), Sn at (0.500, 0.500, 0.500) and Au at (0.000, 0.500, 0.500).

No. 4
The following is a GGA-PBE calculation of a geometry-optimized Tb4Sm2Y structure, from Alexandria via LeMat-Bulk.

The value obtained for the spin magnetization is 0.000 μB/atom. The energy of formation is 0.05 eV per atom.

The structure belongs to space group C2/m (No. 12); the cell edges are 16.917, 3.554 and 8.795 Å and the angles 90.00°, 119.84° and 90.00°. The distinct sites, in fractional coordinates, are Tb at (0.144, 0.000, 0.342), Tb at (0.205, 0.000, 0.794), Sm at (0.070, 0.500, 0.931) and Y at (0.000, 0.500, 0.500).

No. 5
The following is a GGA-PBE calculation of a geometry-optimized Zn2CdSb structure, from Alexandria via LeMat-Bulk.

The value obtained for the spin magnetization is 0.000 μB/atom. Its raw formation energy is 0.118 eV/atom.

The structure belongs to space group I-42d (No. 122); the cell edges are 4.545, 4.545 and 17.830 Å and the angles 90.00°, 90.00° and 90.00°. The distinct sites, in fractional coordinates, are Zn at (0.197, 0.250, 0.125), Cd at (0.000, 0.000, 0.000) and Sb at (0.000, 0.000, 0.500).

No. 6
The following is a GGA-PBE calculation of a geometry-optimized SrTcHgO4 structure, from Alexandria via LeMat-Bulk.

The value obtained for the spin magnetization is 0.144 μB/atom. Its raw formation energy is -1.598 eV/atom.

The structure belongs to space group P2_1/m (No. 11); the cell edges are 6.615, 6.317 and 8.073 Å and the angles 90.00°, 101.67° and 90.00°. The distinct sites, in fractional coordinates, are Sr at (0.171, 0.250, 0.423), Tc at (0.351, 0.750, 0.649), Hg at (0.103, 0.750, 0.064), O at (0.174, 0.530, 0.644), O at (0.410, 0.250, 0.206) and O at (0.435, 0.750, 0.452).

No. 7
The following is a GGA-PBE calculation of a geometry-optimized FeReBr2 structure, from Alexandria via LeMat-Bulk.

The value obtained for the spin magnetization is 0.000 μB/atom. Its raw formation energy is 0.313 eV/atom.

The structure belongs to space group R3m (No. 160, hexagonal axes); the cell edges are 3.4677, 3.4677 and 25.6914 Å and the angles 90.00°, 90.00° and 120.00°. The distinct sites, in fractional coordinates, are Fe at (0.0000, 0.0000, 0.0000), Re at (0.0000, 0.0000, 0.2901), Br at (0.0000, 0.0000, 0.5476) and Br at (0.0000, 0.0000, 0.7339).

No. 8
The following is a GGA-PBE calculation of a geometry-optimized LiCuMo structure, from Alexandria via LeMat-Bulk.

The value obtained for the spin magnetization is 0.000 μB/atom. The energy of formation is 0.85 eV per atom.

The structure belongs to space group F-43m (No. 216); the cell edges are 5.674, 5.674 and 5.674 Å and the angles 90.00°, 90.00° and 90.00°. The distinct sites, in fractional coordinates, are Li at (0.000, 0.000, 0.000), Cu at (0.250, 0.250, 0.250) and Mo at (0.000, 0.000, 0.500).